CeSb4Rh6 | PBE | optimized geometry

E_tot (eV per atom): -6.64
E_form (uncorrected) (eV/f.u.): -6.508
Energy above the lowest structure with this stoichiometry (eV/atom): 0.000

extended XYZ file:
```
11
Lattice="4.062 0.000 0.000 0.000 6.610 -3.816 0.000 0.000 7.633" Properties=species:S:1:pos:R:3 pbc="T T T"
Ce 0.000 0.000 0.000
Sb 2.031 5.344 1.623
Sb 2.031 2.533 0.000
Sb 2.031 5.344 -1.623
Sb 0.000 2.203 3.816
Rh 0.000 3.533 -1.513
Rh 2.031 3.970 3.816
Rh 0.000 3.533 1.513
Rh 0.000 6.153 0.000
Rh 2.031 1.320 5.346
Rh 2.031 1.320 2.286
```